An optimized crystal structure of TiInSiIr2, computed with PBE-GGA.

Values from the calculation:
E_form (uncorrected) = 0.539 eV/atom
Total magnetic moment = 0.00 μB/f.u.

a = 4.4157 Å, b = 4.4157 Å, c = 4.9993 Å
α = 90.00°, β = 90.00°, γ = 90.00°
Sites, in units of the cell vectors:
Ti (0.0000, 0.0000, 0.0000)
In (0.5000, 0.5000, 0.0000)
Si (0.5000, 0.5000, 0.5000)
Ir (0.0000, 0.5000, 0.5000)
Ir (0.5000, 0.0000, 0.5000)


An optimized crystal structure of CdB3Pt, computed with PBE-GGA.

Values from the calculation:
Total magnetic moment = 0.00 μB/f.u.
Polymorph energy (0 for the lowest one) = 1267 meV per atom
ΔE_f = 2418 meV per atom

a = 4.2602 Å, b = 4.2602 Å, c = 4.2602 Å
α = 90.00°, β = 90.00°, γ = 90.00°
Sites, in units of the cell vectors:
Cd (0.0000, 0.0000, 0.0000)
B (0.0000, 0.0000, 0.5000)
B (0.0000, 0.5000, 0.0000)
B (0.5000, 0.0000, 0.0000)
Pt (0.5000, 0.5000, 0.5000)


An optimized crystal structure of Ce2ReN5, computed with PBE-GGA.

Values from the calculation:
E_form (uncorrected) = -0.667 eV/atom
Total magnetic moment = 0.00 μB/f.u.

a = 6.2046 Å, b = 6.2046 Å, c = 10.8711 Å
α = 90.00°, β = 90.00°, γ = 142.12°
Sites, in units of the cell vectors:
Ce (0.1496, 0.8504, 0.5771)
Ce (0.1496, 0.8504, 0.9229)
Ce (0.8504, 0.1496, 0.0771)
Ce (0.8504, 0.1496, 0.4229)
Re (0.1538, 0.8462, 0.2500)
Re (0.8462, 0.1538, 0.7500)
N (0.0541, 0.9459, 0.1249)
N (0.0541, 0.9459, 0.3751)
N (0.2856, 0.7144, 0.0862)
N (0.2856, 0.7144, 0.4138)
N (0.2918, 0.7082, 0.7500)
N (0.7082, 0.2918, 0.2500)
N (0.7144, 0.2856, 0.5862)
N (0.7144, 0.2856, 0.9138)
N (0.9459, 0.0541, 0.6249)
N (0.9459, 0.0541, 0.8751)


An optimized crystal structure of LiPbSe, computed with PBE-GGA.

Values from the calculation:
E_form (uncorrected) = -0.550 eV/atom
Total magnetic moment = 0.00 μB/f.u.
Polymorph energy (0 for the lowest one) = 37 meV per atom

a = 4.1727 Å, b = 4.1727 Å, c = 4.7660 Å
α = 90.00°, β = 90.00°, γ = 120.00°
Sites, in units of the cell vectors:
Li (0.0000, 0.0000, 0.0000)
Pb (0.3333, 0.6667, 0.5100)
Se (0.6667, 0.3333, 0.0183)


An optimized crystal structure of MgTcHg4, computed with PBE-GGA.

Values from the calculation:
Total magnetic moment = 2.68 μB/f.u.
ΔE_f = 643 meV per atom

a = 5.7243 Å, b = 5.7243 Å, c = 5.7243 Å
α = 60.00°, β = 60.00°, γ = 60.00°
Sites, in units of the cell vectors:
Mg (0.0000, 0.0000, 0.0000)
Tc (0.7500, 0.7500, 0.7500)
Hg (0.3754, 0.3754, 0.3754)
Hg (0.3754, 0.3754, 0.8739)
Hg (0.3754, 0.8739, 0.3754)
Hg (0.8739, 0.3754, 0.3754)


An optimized crystal structure of GaIr2C, computed with PBE-GGA.

Values from the calculation:
Total magnetic moment = 0.00 μB/f.u.
Polymorph energy (0 for the lowest one) = 324 meV per atom
ΔE_f = 373 meV per atom

a = 5.9580 Å, b = 5.9580 Å, c = 5.9580 Å
α = 127.37°, β = 127.37°, γ = 77.65°
Sites, in units of the cell vectors:
Ga (0.0000, 0.0000, 0.0000)
Ga (0.7500, 0.2500, 0.5000)
Ir (0.2099, 0.6250, 0.0849)
Ir (0.3750, 0.4599, 0.5849)
Ir (0.5401, 0.1250, 0.9151)
Ir (0.8750, 0.7901, 0.4151)
C (0.2500, 0.7500, 0.5000)
C (0.5000, 0.5000, 0.0000)